{
  "formula": "Sr2Li2Ni",
  "functional": "GGA-PBE",
  "state": "relaxed",
  "lattice_angstrom": [[7.4009, 0.0000, 0.0000], [0.0000, 7.4009, 0.0000], [0.0000, 0.0000, 5.0367]],
  "species": ["Sr", "Sr", "Sr", "Sr", "Li", "Li", "Li", "Li", "Ni", "Ni"],
  "fractional_positions": [[0.1904, 0.3096, 0.0000], [0.3096, 0.8096, 0.0000], [0.6904, 0.1904, 0.0000], [0.8096, 0.6904, 0.0000], [0.1364, 0.6364, 0.5000], [0.3636, 0.1364, 0.5000], [0.6364, 0.8636, 0.5000], [0.8636, 0.3636, 0.5000], [0.0000, 0.0000, 0.5000], [0.5000, 0.5000, 0.5000]],
  "space_group": "P4/mbm",
  "final_energy_ev_per_cell": -23.5,
  "n_ef_per_ev_cell": 9.42,
  "ef_ev_per_atom": 0.245,
  "m_tot_mub_per_atom": 0.00
}